Record 1
VASP calculation (PBE) on a relaxed structure of Ho4Zn5Co2.

Geometry as CIF:
```
data_Ho4Zn5Co2
_cell_length_a 6.900
_cell_length_b 3.687
_cell_length_c 8.673
_cell_angle_alpha 90.00
_cell_angle_beta 95.09
_cell_angle_gamma 90.00
_symmetry_space_group_name_H-M 'P 1'
_symmetry_Int_Tables_number 1
_symmetry_space_group_name_Hall 'P 1'
loop_
_atom_site_label
_atom_site_type_symbol
_atom_site_fract_x
_atom_site_fract_y
_atom_site_fract_z
Ho1 Ho 0.172 0.000 0.353
Ho2 Ho 0.239 0.000 0.939
Ho3 Ho 0.761 0.000 0.061
Ho4 Ho 0.828 0.000 0.647
Zn1 Zn 0.190 0.500 0.655
Zn2 Zn 0.439 0.500 0.188
Zn3 Zn 0.500 0.500 0.500
Zn4 Zn 0.561 0.500 0.812
Zn5 Zn 0.810 0.500 0.345
Co1 Co 0.064 0.500 0.134
Co2 Co 0.936 0.500 0.866
```

Properties
density = 8.3 Mg/m³
D(E_F) = 0.70 states/eV per atom
calculated volume = 20.0 A^3/atom
total DFT energy (no corrections) = -3.815 eV/atom
ΔH_f (0 K) = -0.280 eV/atom

---

Record 2
VASP calculation (PBE) on a relaxed structure of Ho6ZnCo.

Geometry as CIF:
```
data_Ho6ZnCo
_cell_length_a 6.640
_cell_length_b 6.646
_cell_length_c 7.215
_cell_angle_alpha 62.64
_cell_angle_beta 62.69
_cell_angle_gamma 60.04
_symmetry_space_group_name_H-M 'P 1'
_symmetry_Int_Tables_number 1
_symmetry_space_group_name_Hall 'P 1'
loop_
_atom_site_label
_atom_site_type_symbol
_atom_site_fract_x
_atom_site_fract_y
_atom_site_fract_z
Ho1 Ho 0.054 0.414 0.255
Ho2 Ho 0.224 0.946 0.745
Ho3 Ho 0.414 0.777 0.255
Ho4 Ho 0.586 0.223 0.745
Ho5 Ho 0.776 0.054 0.255
Ho6 Ho 0.946 0.586 0.745
Zn1 Zn 0.500 0.500 0.000
Co1 Co 0.000 0.000 0.500
```

Properties
density = 7.9 Mg/m³
D(E_F) = 1.37 states/eV per atom
calculated volume = 29.2 A^3/atom
total DFT energy (no corrections) = -4.467 eV/atom
energy above the most stable polymorph in this dataset = 101.1 meV/atom
ΔH_f (0 K) = 0.013 eV/atom

---

Record 3
VASP calculation (PBE) on a relaxed structure of HoZrCo.

Geometry as CIF:
```
data_HoZrCo
_cell_length_a 5.367
_cell_length_b 4.298
_cell_length_c 5.805
_cell_angle_alpha 90.00
_cell_angle_beta 104.37
_cell_angle_gamma 90.00
_symmetry_space_group_name_H-M 'P 1'
_symmetry_Int_Tables_number 1
_symmetry_space_group_name_Hall 'P 1'
loop_
_atom_site_label
_atom_site_type_symbol
_atom_site_fract_x
_atom_site_fract_y
_atom_site_fract_z
Ho1 Ho 0.074 0.250 0.277
Ho2 Ho 0.926 0.750 0.723
Zr1 Zr 0.462 0.250 0.813
Zr2 Zr 0.538 0.750 0.187
Co1 Co 0.377 0.750 0.573
Co2 Co 0.623 0.250 0.427
```

Properties
density = 8.1 Mg/m³
D(E_F) = 1.12 states/eV per atom
calculated volume = 21.6 A^3/atom
total DFT energy (no corrections) = -6.905 eV/atom
energy above the most stable polymorph in this dataset = 0.0 meV/atom
ΔH_f (0 K) = -0.161 eV/atom